[1]
Computed, not measured: an optimized crystal structure of Sb2AuBr at the PBE-GGA level of DFT.

a = 3.4072 Å, b = 3.4470 Å, c = 8.4835 Å
α = 90.00°, β = 90.00°, γ = 90.00°
Atoms (fractional coordinates):
Sb 0.0000 0.0000 0.2164
Sb 0.0000 0.0000 0.7836
Au 0.5000 0.5000 0.0000
Br 0.5000 0.5000 0.5000

Summary:
Space-group type ... Pmmm, No. 47
Magnetization ... 0.00 μB per atom
Raw total energy ... -3.250 eV/atom
E_form (uncorrected) ... 0.048 eV/atom

=====

[2]
Computed, not measured: an optimized crystal structure of Sb2AuBr at the PBE-GGA level of DFT.

a = 5.2324 Å, b = 3.3268 Å, c = 5.8006 Å
α = 90.00°, β = 90.10°, γ = 90.00°
Atoms (fractional coordinates):
Sb 0.0000 0.0000 0.0000
Sb 0.5000 0.5000 0.5000
Au 0.0000 0.0000 0.5000
Br 0.5000 0.5000 0.0000

Summary:
Space-group type ... P2/m, No. 10
Magnetization ... 0.00 μB per atom
Raw total energy ... -3.186 eV/atom
E_form (uncorrected) ... 0.113 eV/atom

=====

[3]
Computed, not measured: an optimized crystal structure of SbAuBr2 at the PBE-GGA level of DFT.

a = 3.8520 Å, b = 6.2366 Å, c = 6.5941 Å
α = 99.17°, β = 106.71°, γ = 90.86°
Atoms (fractional coordinates):
Sb 0.0000 0.0000 0.0000
Au 0.6432 0.1410 0.2841
Br 0.0390 0.6195 0.1023
Br 0.2860 0.2607 0.5682

Summary:
Space-group type ... P1, No. 1
Magnetization ... 0.00 μB per atom
Raw total energy ... -2.974 eV/atom
E_form (uncorrected) ... -0.288 eV/atom

=====

[4]
Computed, not measured: an optimized crystal structure of Sb2AuBr at the PBE-GGA level of DFT.

a = 3.5749 Å, b = 3.5749 Å, c = 8.2297 Å
α = 90.00°, β = 90.00°, γ = 100.98°
Atoms (fractional coordinates):
Sb 0.0000 0.0000 0.2072
Sb 0.0000 0.0000 0.7928
Au 0.5000 0.5000 0.0000
Br 0.5000 0.5000 0.5000

Summary:
Space-group type ... Cmmm, No. 65
Magnetization ... 0.00 μB per atom
Raw total energy ... -3.279 eV/atom
E_form (uncorrected) ... 0.020 eV/atom

=====

[5]
Computed, not measured: an optimized crystal structure of Sb2AuBr at the PBE-GGA level of DFT.

a = 3.5496 Å, b = 3.5496 Å, c = 9.1372 Å
α = 90.00°, β = 90.00°, γ = 114.32°
Atoms (fractional coordinates):
Sb 0.0000 0.0000 0.0000
Sb 0.5000 0.5000 0.2691
Au 0.0000 0.0000 0.4851
Br 0.5000 0.5000 0.6977

Summary:
Space-group type ... Cmm2, No. 35
Magnetization ... 0.00 μB per atom
Raw total energy ... -3.153 eV/atom
E_form (uncorrected) ... 0.146 eV/atom

=====

[6]
Computed, not measured: an optimized crystal structure of SbAuBr2 at the PBE-GGA level of DFT.

a = 5.1834 Å, b = 5.1834 Å, c = 5.1834 Å
α = 60.00°, β = 60.00°, γ = 60.00°
Atoms (fractional coordinates):
Sb 0.0000 0.0000 0.0000
Au 0.5000 0.5000 0.5000
Br 0.2500 0.2500 0.2500
Br 0.7500 0.7500 0.7500

Summary:
Space-group type ... Fm-3m, No. 225
Magnetization ... 0.00 μB per atom
Raw total energy ... -2.342 eV/atom
E_form (uncorrected) ... 0.344 eV/atom